No. 1
DFT (PBE) results for an optimized crystal structure of Y5Tm2In5.

a = 12.0063 Å, b = 5.0488 Å, c = 11.9463 Å
α = 90.00°, β = 110.75°, γ = 90.00°
Space group C2/m (No. 12)
Unique sites:
Y  0.0000  0.0000  0.0000 [2 per cell]
Y  0.1366  0.0000  0.7770 [4 per cell]
Y  0.1522  0.0000  0.5011 [4 per cell]
Tm  0.0734  0.5000  0.2598 [4 per cell]
In  0.0000  0.5000  0.5000 [2 per cell]
In  0.1646  0.5000  0.9631 [4 per cell]
In  0.2333  0.0000  0.2783 [4 per cell]


No. 2
DFT (PBE) results for an optimized crystal structure of SrGa2Au2.

Properties
- Energy above the most stable polymorph in this dataset: 279.9 meV/atom

a = 7.9310 Å, b = 7.9310 Å, c = 3.4755 Å
α = 90.00°, β = 90.00°, γ = 90.00°
Space group P4/mbm (No. 127)
Unique sites:
Sr  0.0000  0.0000  0.0000 [2 per cell]
Ga  0.1168  0.3832  0.0000 [4 per cell]
Au  0.1863  0.6863  0.5000 [4 per cell]


No. 3
DFT (PBE) results for an optimized crystal structure of SiPHS.

Properties
- Energy above the most stable polymorph in this dataset: 67.8 meV/atom

a = 3.4753 Å, b = 3.4753 Å, c = 19.2205 Å
α = 90.00°, β = 90.00°, γ = 120.00°
Space group R3m (No. 160, hexagonal axes)
Unique sites:
Si  0.0000  0.0000  0.0000 [3 per cell]
P  0.0000  0.0000  0.2735 [3 per cell]
H  0.0000  0.0000  0.1992 [3 per cell]
S  0.0000  0.0000  0.7362 [3 per cell]


Number 1: size of the total moment 0.000 μB/f.u., VASP energy -4.90 eV per atom. Number 2: size of the total moment 0.000 μB/f.u., VASP energy -3.18 eV per atom. Number 3: size of the total moment 0.000 μB/f.u., VASP energy -4.72 eV per atom.